[1]
A geometry-optimized DyGeS3 structure. Source: OQMD via LeMat-Bulk, functional PBE.

The space group is P2_1/c (No. 14) and the conventional cell measures 6.860, 10.136 and 6.502 Å, with angles of 90.00, 98.30 and 90.00 degrees. Symmetry generates all atoms from Dy at (0.113, 0.117, 0.242), Ge at (0.358, 0.718, 0.583), S at (0.085, 0.652, 0.904), S at (0.248, 0.524, 0.432) and S at (0.385, 0.203, 0.589).

The value obtained for the size of the total moment is 0.0 μB per formula unit. The electronic total energy comes out at -5.38 eV/atom.



[2]
A geometry-optimized ZrPb structure. Source: OQMD via LeMat-Bulk, functional PBE.

The space group is Pmma (No. 51) and the conventional cell measures 5.445, 3.222 and 5.502 Å, with angles of 90.00, 90.00 and 90.00 degrees. Symmetry generates all atoms from Zr at (0.250, 0.000, 0.247) and Pb at (0.250, 0.500, 0.747).

The value obtained for the size of the total moment is 0.0 μB per formula unit. The electronic total energy comes out at -6.19 eV/atom.



[3]
A geometry-optimized Gd2ErAl3AgPd2 structure. Source: OQMD via LeMat-Bulk, functional PBE.

The space group is Amm2 (No. 38) and the conventional cell measures 3.900, 12.789 and 7.401 Å, with angles of 90.00, 90.00 and 90.00 degrees. Symmetry generates all atoms from Gd at (0.000, 0.208, 0.000), Er at (0.000, 0.000, 0.624), Al at (0.500, 0.000, 0.954), Al at (0.500, 0.126, 0.336), Ag at (0.000, 0.000, 0.211) and Pd at (0.500, 0.164, 0.707).

The value obtained for the size of the total moment is 0.0 μB per formula unit. The electronic total energy comes out at -4.95 eV/atom.



[4]
A geometry-optimized YGaAgAu structure. Source: OQMD via LeMat-Bulk, functional PBE.

The space group is F-43m (No. 216) and the conventional cell measures 6.815, 6.815 and 6.815 Å, with angles of 90.00, 90.00 and 90.00 degrees. Symmetry generates all atoms from Y at (0.000, 0.000, 0.000), Ga at (0.250, 0.250, 0.750), Ag at (0.250, 0.250, 0.250) and Au at (0.000, 0.000, 0.500).

The value obtained for the size of the total moment is 0.0 μB per formula unit. The electronic total energy comes out at -4.35 eV/atom. The energy above the most stable polymorph in this dataset is 56 meV/atom.



[5]
A geometry-optimized PbAu2 structure. Source: OQMD via LeMat-Bulk, functional PBE.

The space group is Fd-3m (No. 227, origin choice 2) and the conventional cell measures 8.058, 8.058 and 8.058 Å, with angles of 90.00, 90.00 and 90.00 degrees. Symmetry generates all atoms from Pb at (0.125, 0.125, 0.125) and Au at (0.000, 0.000, 0.500).

The electronic total energy comes out at -3.49 eV/atom.



[6]
A geometry-optimized Dy2Y3Al3 structure. Source: OQMD via LeMat-Bulk, functional PBE.

The space group is Pm (No. 6) and the conventional cell measures 6.516, 4.983 and 6.550 Å, with angles of 90.00, 103.61 and 90.00 degrees. Symmetry generates all atoms from Dy at (0.000, 0.000, 0.000), Dy at (0.210, 0.500, 0.698), Y at (0.492, 0.000, 0.979), Y at (0.498, 0.000, 0.482), Y at (0.789, 0.500, 0.274), Al at (0.284, 0.500, 0.199), Al at (0.714, 0.500, 0.769) and Al at (0.999, 0.000, 0.499).

The value obtained for the size of the total moment is 0.1 μB per formula unit. The electronic total energy comes out at -5.23 eV/atom. The energy above the most stable polymorph in this dataset is 0 meV/atom.



Repeat the third record exactly.
A geometry-optimized Gd2ErAl3AgPd2 structure. Source: OQMD via LeMat-Bulk, functional PBE.

The space group is Amm2 (No. 38) and the conventional cell measures 3.900, 12.789 and 7.401 Å, with angles of 90.00, 90.00 and 90.00 degrees. Symmetry generates all atoms from Gd at (0.000, 0.208, 0.000), Er at (0.000, 0.000, 0.624), Al at (0.500, 0.000, 0.954), Al at (0.500, 0.126, 0.336), Ag at (0.000, 0.000, 0.211) and Pd at (0.500, 0.164, 0.707).

The value obtained for the size of the total moment is 0.0 μB per formula unit. The electronic total energy comes out at -4.95 eV/atom.